Record 1
Below is a geometry-optimized TbNd6Al structure, with properties calculated at the GGA-PBE level.

Cell and atoms, written as POSCAR:
```
TbNd6Al
1.0
3.3895 -5.7617 0.0000
3.3895 5.7617 0.0000
-1.1888 0.0000 6.7199
Tb Nd Al
1 6 1
Cartesian
0.0000 0.0000 0.0000
2.2643 2.4853 1.5963
1.0333 0.0000 3.7807
3.3260 2.4853 5.1236
2.2643 -2.4853 1.5963
4.5570 0.0000 2.9392
3.3260 -2.4853 5.1236
3.3895 0.0000 0.0000
```

- V: 262.47 Å³/cell
- Total moment: 0.000 Bohr magnetons per cell
- SG: C2/m (12)
- Calculated formation energy: -0.054 eV per atom

Record 2
Below is a geometry-optimized Tb3Pr2YEr6 structure, with properties calculated at the GGA-PBE level.

Cell and atoms, written as POSCAR:
```
Tb3Pr2YEr6
1.0
3.0867 -5.3426 0.0000
3.0867 5.3426 0.0000
-2.0490 0.0000 11.5845
Tb Pr Y Er
3 2 1 6
Cartesian
0.0000 0.0000 0.0000
3.0867 1.7801 0.0000
3.0867 -1.7801 0.0000
2.0622 3.5631 5.7923
2.0622 -3.5631 5.7923
2.0622 0.0000 5.7923
1.0289 1.7799 2.8618
0.0113 0.0000 8.7267
1.0289 -1.7799 2.8618
3.0955 1.7799 8.7228
4.1131 0.0000 2.8578
3.0955 -1.7799 8.7228
```

- V: 382.08 Å³/cell
- Total moment: 0.000 Bohr magnetons per cell
- SG: C2/m (12)
- Calculated formation energy: 0.019 eV per atom

Record 3
Below is a geometry-optimized Zn5CuAu8 structure, with properties calculated at the GGA-PBE level.

Cell and atoms, written as POSCAR:
```
Zn5CuAu8
1.0
-3.9170 3.9170 3.9566
3.9170 -3.9170 3.9566
3.9170 3.9170 -3.9566
Zn Cu Au
5 1 8
Cartesian
0.0000 0.0000 0.0000
2.9669 2.1152 -0.8510
1.8018 -0.9501 4.8076
0.9501 1.8018 3.1056
2.1152 4.8671 0.8510
3.9170 0.0000 1.9783
5.2297 0.5671 -0.4612
1.3634 -0.7101 2.1853
2.5536 4.6271 -1.7713
0.5671 2.6043 0.4612
3.2069 2.5536 1.7713
3.3499 1.3127 4.4178
-1.3127 3.3499 3.4953
0.7101 1.3634 5.7279
```

- V: 242.82 Å³/cell
- Total moment: 0.000 Bohr magnetons per cell
- SG: I-4 (82)
- Calculated formation energy: -0.098 eV per atom